! Sc2BeIr (PBE, relaxed); values from VASP
&SYSTEM
  ibrav = 0, nat = 4, ntyp = 3
/
ATOMIC_SPECIES
Sc 44.96 Sc.upf
Be 9.01 Be.upf
Ir 192.22 Ir.upf
CELL_PARAMETERS angstrom
3.1874 0.0000 0.0000
0.0000 3.2068 0.0061
0.0000 3.2000 6.4354
ATOMIC_POSITIONS crystal
Sc 0.0000 0.9946 0.0049
Sc 0.0000 0.5054 0.4951
Be 0.5000 0.2500 0.2500
Ir 0.5000 0.7500 0.7500
! Magnetic moment, μB/f.u.: 0.000
! Electronic total energy, eV/atom: -6.87